No. 1
{
  "formula": "Ca3Nd3ErSe8",
  "functional": "GGA-PBE",
  "state": "relaxed",
  "cell": [[4.188, 2.418, 6.910], [-4.188, 2.418, 6.910], [0.000, -4.836, 6.910]],
  "species": ["Ca", "Ca", "Ca", "Nd", "Nd", "Nd", "Er", "Se", "Se", "Se", "Se", "Se", "Se", "Se", "Se"],
  "frac_coords": [[0.000, 0.500, 0.500], [0.500, 0.000, 0.500], [0.500, 0.500, 0.000], [0.000, 0.000, 0.500], [0.000, 0.500, 0.000], [0.500, 0.000, 0.000], [0.500, 0.500, 0.500], [0.252, 0.252, 0.252], [0.258, 0.258, 0.741], [0.258, 0.741, 0.258], [0.259, 0.742, 0.742], [0.741, 0.258, 0.258], [0.742, 0.259, 0.742], [0.742, 0.742, 0.259], [0.748, 0.748, 0.748]],
  "formation_energy_uncorrected_ev_per_atom": -1.925,
  "dft_energy_ev_per_atom": -5.442
}

***

No. 2
{
  "formula": "BaReHg2",
  "functional": "GGA-PBE",
  "state": "relaxed",
  "cell": [[6.777, 0.000, 0.000], [0.000, 8.940, 0.000], [0.000, 0.000, 3.129]],
  "species": ["Ba", "Ba", "Re", "Re", "Hg", "Hg", "Hg", "Hg"],
  "frac_coords": [[0.000, 0.000, 0.000], [0.500, 0.500, 0.000], [0.000, 0.500, 0.000], [0.500, 0.000, 0.000], [0.250, 0.250, 0.500], [0.250, 0.750, 0.500], [0.750, 0.250, 0.500], [0.750, 0.750, 0.500]],
  "e_form_mev_per_atom": 887.1,
  "polymorph_energy_ev_per_fu": 1.20,
  "dft_energy_ev_per_atom": -2.857
}

***

No. 3
{
  "formula": "LiHgSI",
  "functional": "GGA-PBE",
  "state": "relaxed",
  "cell": [[4.326, 0.000, 0.000], [-2.163, 3.746, 0.000], [0.000, 0.000, 21.656]],
  "species": ["Li", "Li", "Li", "Hg", "Hg", "Hg", "S", "S", "S", "I", "I", "I"],
  "frac_coords": [[0.000, 0.000, 0.000], [0.333, 0.667, 0.667], [0.667, 0.333, 0.333], [0.000, 0.000, 0.473], [0.333, 0.667, 0.140], [0.667, 0.333, 0.807], [0.000, 0.000, 0.112], [0.333, 0.667, 0.779], [0.667, 0.333, 0.445], [0.000, 0.000, 0.616], [0.333, 0.667, 0.282], [0.667, 0.333, 0.949]],
  "formation_energy_uncorrected_ev_per_atom": -0.656,
  "dft_energy_ev_per_atom": -2.630
}

***

No. 4
{
  "formula": "NaGaSbO4",
  "functional": "GGA-PBE",
  "state": "relaxed",
  "cell": [[3.159, -4.888, 0.000], [3.159, 4.888, 0.000], [0.000, 0.000, 6.767]],
  "species": ["Na", "Na", "Ga", "Ga", "Sb", "Sb", "O", "O", "O", "O", "O", "O", "O", "O"],
  "frac_coords": [[0.000, 0.000, 0.000], [0.000, 0.000, 0.500], [0.366, 0.634, 0.750], [0.634, 0.366, 0.250], [0.341, 0.659, 0.250], [0.659, 0.341, 0.750], [0.257, 0.743, 0.526], [0.257, 0.743, 0.974], [0.281, 0.296, 0.250], [0.296, 0.281, 0.750], [0.704, 0.719, 0.250], [0.719, 0.704, 0.750], [0.743, 0.257, 0.026], [0.743, 0.257, 0.474]],
  "formation_energy_uncorrected_ev_per_atom": -1.470,
  "dft_energy_ev_per_atom": -5.513
}

***

No. 5
{
  "formula": "MnBeCoP",
  "functional": "GGA-PBE",
  "state": "relaxed",
  "cell": [[5.327, 0.000, 0.000], [0.000, 5.327, 0.000], [0.000, 0.000, 5.327]],
  "species": ["Mn", "Mn", "Mn", "Mn", "Be", "Be", "Be", "Be", "Co", "Co", "Co", "Co", "P", "P", "P", "P"],
  "frac_coords": [[0.000, 0.000, 0.000], [0.000, 0.500, 0.500], [0.500, 0.000, 0.500], [0.500, 0.500, 0.000], [0.250, 0.250, 0.750], [0.250, 0.750, 0.250], [0.750, 0.250, 0.250], [0.750, 0.750, 0.750], [0.000, 0.000, 0.500], [0.000, 0.500, 0.000], [0.500, 0.000, 0.000], [0.500, 0.500, 0.500], [0.250, 0.250, 0.250], [0.250, 0.750, 0.750], [0.750, 0.250, 0.750], [0.750, 0.750, 0.250]],
  "e_form_mev_per_atom": -409.1,
  "dft_energy_ev_per_atom": -6.762
}

***

No. 6
{
  "formula": "Li2PaCu",
  "functional": "GGA-PBE",
  "state": "relaxed",
  "cell": [[2.928, 0.000, 0.000], [-1.464, 2.536, 0.000], [0.000, 0.000, 30.310]],
  "species": ["Li", "Li", "Li", "Li", "Li", "Li", "Pa", "Pa", "Pa", "Cu", "Cu", "Cu"],
  "frac_coords": [[0.000, 0.000, 0.100], [0.000, 0.000, 0.900], [0.333, 0.667, 0.567], [0.333, 0.667, 0.766], [0.667, 0.333, 0.234], [0.667, 0.333, 0.433], [0.000, 0.000, 0.000], [0.333, 0.667, 0.667], [0.667, 0.333, 0.333], [0.000, 0.000, 0.500], [0.333, 0.667, 0.167], [0.667, 0.333, 0.833]],
  "e_form_mev_per_atom": 249.4,
  "dft_energy_ev_per_atom": -4.105
}

***

No. 7
{
  "formula": "La14CePr",
  "functional": "GGA-PBE",
  "state": "relaxed",
  "cell": [[10.478, 0.000, 0.000], [0.000, 5.239, 5.239], [0.000, -5.239, 5.239]],
  "species": ["La", "La", "La", "La", "La", "La", "La", "La", "La", "La", "La", "La", "La", "La", "Ce", "Pr"],
  "frac_coords": [[0.000, 0.000, 0.000], [0.000, 0.499, 0.499], [0.000, 0.500, 0.998], [0.000, 0.998, 0.500], [0.254, 0.245, 0.245], [0.254, 0.245, 0.754], [0.254, 0.754, 0.245], [0.255, 0.754, 0.754], [0.500, 0.000, 0.498], [0.500, 0.498, 0.000], [0.745, 0.754, 0.754], [0.746, 0.245, 0.245], [0.746, 0.245, 0.754], [0.746, 0.754, 0.245], [0.500, 0.999, 0.999], [0.500, 0.500, 0.500]],
  "e_form_mev_per_atom": 18.4,
  "dft_energy_ev_per_atom": -4.963
}

***

No. 8
{
  "formula": "B2TeP",
  "functional": "GGA-PBE",
  "state": "relaxed",
  "cell": [[3.369, 0.000, 0.000], [1.684, 2.919, 0.000], [0.013, 1.706, 6.322]],
  "species": ["B", "B", "Te", "P"],
  "frac_coords": [[0.000, 0.000, 0.000], [0.087, 0.823, 0.277], [0.473, 0.051, 0.460], [0.307, 0.386, 0.912]],
  "formation_energy_uncorrected_ev_per_atom": 0.279,
  "polymorph_energy_ev_per_fu": 0.16,
  "dft_energy_ev_per_atom": -5.198
}

***

No. 9
{
  "formula": "Be2Tc2Ge",
  "functional": "GGA-PBE",
  "state": "relaxed",
  "cell": [[5.961, 0.000, 0.000], [0.000, 5.961, 0.000], [0.000, 0.000, 3.206]],
  "species": ["Be", "Be", "Be", "Be", "Tc", "Tc", "Tc", "Tc", "Ge", "Ge"],
  "frac_coords": [[0.119, 0.381, 0.000], [0.381, 0.881, 0.000], [0.619, 0.119, 0.000], [0.881, 0.619, 0.000], [0.177, 0.677, 0.500], [0.323, 0.177, 0.500], [0.677, 0.823, 0.500], [0.823, 0.323, 0.500], [0.000, 0.000, 0.000], [0.500, 0.500, 0.000]],
  "e_form_mev_per_atom": -281.0,
  "polymorph_energy_ev_per_fu": 0.00,
  "dft_energy_ev_per_atom": -6.841
}

***

no.,size of the total moment (Bohr magnetons per cell)
1,0.00
2,0.02
3,0.00
4,0.00
5,0.00
6,0.00
7,1.31
8,0.00
9,0.00